The following is a DFT calculation (PBE) of crystalline PrNpTl at its relaxed geometry.

Results
total energy	-6.13	eV/atom
excess energy over the best structure of this formula in the dataset	0	meV/atom
size of the total moment	5.25	μB/f.u.

abc: 7.503 7.503 7.503
angles: 90.00 90.00 90.00
Space group F-43m (No. 216)
Unique sites:
Pr1 0.000 0.000 0.000 x4
Np1 0.000 0.000 0.500 x4
Tl1 0.250 0.250 0.750 x4